## LaDy4Ho7 (PBE-GGA)

Data for crystalline LaDy4Ho7 at its relaxed geometry.

The structure belongs to space group C2/m (No. 12); the cell edges are 12.0784, 5.8703 and 12.5846 Å and the angles 90.00°, 117.89° and 90.00°. The asymmetric unit holds La at (0.0000, 0.0000, 0.0000), Dy at (0.1294, 0.5000, 0.7746), Dy at (0.2478, 0.5000, 0.3157), Ho at (0.0000, 0.5000, 0.0000), Ho at (0.0575, 0.0000, 0.3348), Ho at (0.1348, 0.5000, 0.5049) and Ho at (0.2104, 0.0000, 0.9220).

The value obtained for the total magnetization is 0.0 μB per formula unit. The calculated formation energy comes out at 271 meV per atom. For the relative energy among the computed polymorphs, the calculation gives 0.269 eV per atom.

=====

## LiLaErTl (PBE-GGA)

Data for crystalline LiLaErTl at its relaxed geometry.

The structure belongs to space group F-43m (No. 216); the cell edges are 7.6604, 7.6604 and 7.6604 Å and the angles 90.00°, 90.00° and 90.00°. The asymmetric unit holds Li at (0.0000, 0.0000, 0.0000), La at (0.2500, 0.2500, 0.2500), Er at (0.2500, 0.2500, 0.7500) and Tl at (0.0000, 0.0000, 0.5000).

The value obtained for the total magnetization is 0.0 μB per formula unit. The calculated formation energy comes out at -189 meV per atom.

=====

## ThTiHg (PBE-GGA)

Data for crystalline ThTiHg at its relaxed geometry.

The structure belongs to space group P-6m2 (No. 187); the cell edges are 3.3406, 3.3406 and 15.1591 Å and the angles 90.00°, 90.00° and 120.00°. The asymmetric unit holds Th at (0.0000, 0.0000, 0.1707), Ti at (0.0000, 0.0000, 0.5000), Ti at (0.6667, 0.3333, 0.0000) and Hg at (0.6667, 0.3333, 0.3544).

The value obtained for the total magnetization is 0.7 μB per formula unit. The calculated formation energy comes out at 158 meV per atom. For the relative energy among the computed polymorphs, the calculation gives 0.057 eV per atom.

=====

## PRhF (PBE-GGA)

Data for crystalline PRhF at its relaxed geometry.

The structure belongs to space group P1 (No. 1); the cell edges are 3.4519, 3.4649 and 5.5161 Å and the angles 107.52°, 90.58° and 119.73°. The asymmetric unit holds P at (0.0000, 0.0000, 0.0000), Rh at (0.7277, 0.4520, 0.1798) and F at (0.8917, 0.7918, 0.6785).

The value obtained for the total magnetization is 0.0 μB per formula unit. The calculation puts the formation energy from raw total energies at -1.13 eV per atom. For the relative energy among the computed polymorphs, the calculation gives 0.164 eV per atom.

=====

## SmSi2Tc4 (PBE-GGA)

Data for crystalline SmSi2Tc4 at its relaxed geometry.

The structure belongs to space group Cmmm (No. 65); the cell edges are 4.1339, 13.8304 and 4.1124 Å and the angles 90.00°, 90.00° and 90.00°. The asymmetric unit holds Sm at (0.0000, 0.0000, 0.0000), Si at (0.0000, 0.4108, 0.5000), Tc at (0.0000, 0.1902, 0.5000) and Tc at (0.0000, 0.3043, 0.0000).

The value obtained for the total magnetization is 0.0 μB per formula unit. The calculation puts the formation energy from raw total energies at -0.52 eV per atom.

=====

## Nd6AgS5 (PBE-GGA)

Data for crystalline Nd6AgS5 at its relaxed geometry.

The structure belongs to space group C2/m (No. 12); the cell edges are 7.1232, 12.3458 and 7.1147 Å and the angles 90.00°, 109.49° and 90.00°. The asymmetric unit holds Nd at (0.2388, 0.0000, 0.2574), Nd at (0.2409, 0.1742, 0.7424), Ag at (0.0000, 0.5000, 0.0000), S at (0.0000, 0.0000, 0.5000), S at (0.0000, 0.1661, 0.0000) and S at (0.0000, 0.3368, 0.5000).

The value obtained for the total magnetization is 0.0 μB per formula unit. The calculation puts the formation energy from raw total energies at -1.71 eV per atom.

=====

## Tl2HgI2F2 (PBE-GGA)

Data for crystalline Tl2HgI2F2 at its relaxed geometry.

The structure belongs to space group C2/m (No. 12); the cell edges are 14.3355, 4.2660 and 8.6045 Å and the angles 90.00°, 121.90° and 90.00°. The asymmetric unit holds Tl at (0.1891, 0.0000, 0.2632), Hg at (0.0000, 0.0000, 0.5000), I at (0.0597, 0.5000, 0.7793) and F at (0.1949, 0.0000, 0.5678).

The value obtained for the total magnetization is 0.0 μB per formula unit. The calculation puts the formation energy from raw total energies at -1.11 eV per atom.

=====

## BePOsCl2 (PBE-GGA)

Data for crystalline BePOsCl2 at its relaxed geometry.

The structure belongs to space group P4/mmm (No. 123); the cell edges are 4.9095, 4.9095 and 4.5111 Å and the angles 90.00°, 90.00° and 90.00°. The asymmetric unit holds Be at (0.0000, 0.0000, 0.0000), P at (0.5000, 0.5000, 0.0000), Os at (0.5000, 0.5000, 0.5000) and Cl at (0.0000, 0.5000, 0.5000).

The value obtained for the total magnetization is 0.1 μB per formula unit. The calculation puts the formation energy from raw total energies at 0.82 eV per atom. For the relative energy among the computed polymorphs, the calculation gives 0.057 eV per atom.

=====

## ScCoN2 (PBE-GGA)

Data for crystalline ScCoN2 at its relaxed geometry.

The structure belongs to space group R-3m (No. 166, hexagonal axes); the cell edges are 3.1065, 3.1065 and 17.0704 Å and the angles 90.00°, 90.00° and 120.00°. The asymmetric unit holds Sc at (0.0000, 0.0000, 0.0000), Co at (0.0000, 0.0000, 0.5000) and N at (0.0000, 0.0000, 0.1192).

The value obtained for the total magnetization is 0.6 μB per formula unit. The calculation puts the formation energy from raw total energies at 0.33 eV per atom.

=====

## Tc2GeIr (PBE-GGA)

Data for crystalline Tc2GeIr at its relaxed geometry.

The structure belongs to space group R-3m (No. 166, hexagonal axes); the cell edges are 2.7677, 2.7677 and 27.8126 Å and the angles 90.00°, 90.00° and 120.00°. The asymmetric unit holds Tc at (0.0000, 0.0000, 0.0903), Ge at (0.0000, 0.0000, 0.5000) and Ir at (0.0000, 0.0000, 0.0000).

The value obtained for the total magnetization is 0.0 μB per formula unit. The calculated formation energy comes out at 502 meV per atom.

=====

## BaOsPtCl2 (PBE-GGA)

Data for crystalline BaOsPtCl2 at its relaxed geometry.

The structure belongs to space group P4/mmm (No. 123); the cell edges are 5.1418, 5.1418 and 4.9348 Å and the angles 90.00°, 90.00° and 90.00°. The asymmetric unit holds Ba at (0.0000, 0.0000, 0.0000), Os at (0.5000, 0.5000, 0.0000), Pt at (0.5000, 0.5000, 0.5000) and Cl at (0.0000, 0.5000, 0.5000).

The value obtained for the total magnetization is 1.2 μB per formula unit. The calculation puts the formation energy from raw total energies at 0.08 eV per atom.

=====

## KMgBe2 (PBE-GGA)

Data for crystalline KMgBe2 at its relaxed geometry.

The structure belongs to space group Pmm2 (No. 25); the cell edges are 2.8274, 3.2661 and 8.4235 Å and the angles 90.00°, 90.00° and 90.00°. The asymmetric unit holds K at (0.0000, 0.0000, 0.0000), Mg at (0.5000, 0.5000, 0.3747), Be at (0.0000, 0.0000, 0.6113) and Be at (0.5000, 0.5000, 0.6855).

The value obtained for the total magnetization is 0.0 μB per formula unit. The calculated formation energy comes out at 568 meV per atom.

=====

## Ac2ErMnS5 (PBE-GGA)

Data for crystalline Ac2ErMnS5 at its relaxed geometry.

The structure belongs to space group Cmc2_1 (No. 36); the cell edges are 4.0705, 17.2016 and 12.1935 Å and the angles 90.00°, 90.00° and 90.00°. The asymmetric unit holds Ac at (0.0000, 0.1147, 0.0000), Ac at (0.0000, 0.1295, 0.6263), Er at (0.0000, 0.1964, 0.3232), Mn at (0.0000, 0.4456, 0.7596), S at (0.0000, 0.0434, 0.3617), S at (0.0000, 0.2918, 0.9760), S at (0.0000, 0.3126, 0.6726), S at (0.0000, 0.3543, 0.3150) and S at (0.0000, 0.4964, 0.0855).

The value obtained for the total magnetization is 4.3 μB per formula unit. The calculation puts the formation energy from raw total energies at -1.81 eV per atom.

=====

## Pm3PrTmSc (PBE-GGA)

Data for crystalline Pm3PrTmSc at its relaxed geometry.

The structure belongs to space group P2_1/m (No. 11); the cell edges are 7.9365, 5.0855 and 10.1358 Å and the angles 90.00°, 108.77° and 90.00°. The asymmetric unit holds Pm at (0.1722, 0.2500, 0.0443), Pm at (0.1734, 0.7500, 0.7907), Pm at (0.1776, 0.2500, 0.5427), Pr at (0.1759, 0.7500, 0.2964), Tm at (0.5002, 0.2500, 0.8734) and Sc at (0.4998, 0.2500, 0.3767).

The value obtained for the total magnetization is 0.0 μB per formula unit. The calculated formation energy comes out at 46 meV per atom.

=====

## InMoSBr2 (PBE-GGA)

Data for crystalline InMoSBr2 at its relaxed geometry.

The structure belongs to space group P4/mmm (No. 123); the cell edges are 5.2998, 5.2998 and 5.9197 Å and the angles 90.00°, 90.00° and 90.00°. The asymmetric unit holds In at (0.0000, 0.0000, 0.0000), Mo at (0.0000, 0.0000, 0.5000), S at (0.5000, 0.5000, 0.5000) and Br at (0.0000, 0.5000, 0.0000).

The value obtained for the total magnetization is 2.9 μB per formula unit. The calculation puts the formation energy from raw total energies at 1.02 eV per atom.

=====

## MnFeGe2 (PBE-GGA)

Data for crystalline MnFeGe2 at its relaxed geometry.

The structure belongs to space group R-3m (No. 166, hexagonal axes); the cell edges are 2.8465, 2.8465 and 23.2187 Å and the angles 90.00°, 90.00° and 120.00°. The asymmetric unit holds Mn at (0.0000, 0.0000, 0.0000), Fe at (0.0000, 0.0000, 0.5000) and Ge at (0.0000, 0.0000, 0.2473).

The value obtained for the total magnetization is 3.9 μB per formula unit. The calculated formation energy comes out at 96 meV per atom. For the relative energy among the computed polymorphs, the calculation gives 0.053 eV per atom.

=====

## Li4CrIn (PBE-GGA)

Data for crystalline Li4CrIn at its relaxed geometry.

The structure belongs to space group F-43m (No. 216); the cell edges are 7.3432, 7.3432 and 7.3432 Å and the angles 90.00°, 90.00° and 90.00°. The asymmetric unit holds Li at (0.1248, 0.1248, 0.1248), Cr at (0.2500, 0.2500, 0.7500) and In at (0.0000, 0.0000, 0.5000).

The value obtained for the total magnetization is 3.9 μB per formula unit. The calculated formation energy comes out at 109 meV per atom.

=====

## SrIn2Cu (PBE-GGA)

Data for crystalline SrIn2Cu at its relaxed geometry.

The structure belongs to space group Immm (No. 71); the cell edges are 3.6416, 5.6152 and 10.2367 Å and the angles 90.00°, 90.00° and 90.00°. The asymmetric unit holds Sr at (0.0000, 0.0000, 0.0000), In at (0.0000, 0.5000, 0.2060) and Cu at (0.0000, 0.0000, 0.5000).

The value obtained for the total magnetization is 0.0 μB per formula unit. The calculated formation energy comes out at -113 meV per atom.

=====

## DyEr6Sc4 (PBE-GGA)

Data for crystalline DyEr6Sc4 at its relaxed geometry.

The structure belongs to space group I-42m (No. 121); the cell edges are 6.3182, 6.3182 and 16.4600 Å and the angles 90.00°, 90.00° and 90.00°. The asymmetric unit holds Dy at (0.0000, 0.0000, 0.0000), Er at (0.0000, 0.5000, 0.0000), Er at (0.1883, 0.1883, 0.1775) and Sc at (0.1752, 0.1752, 0.3728).

The value obtained for the total magnetization is 0.0 μB per formula unit. The calculated formation energy comes out at 322 meV per atom.

=====

## AlTcOs2 (PBE-GGA)

Data for crystalline AlTcOs2 at its relaxed geometry.

The structure belongs to space group Pmmm (No. 47); the cell edges are 2.7933, 3.8406 and 5.3476 Å and the angles 90.00°, 90.00° and 90.00°. The asymmetric unit holds Al at (0.0000, 0.0000, 0.0000), Tc at (0.0000, 0.0000, 0.5000) and Os at (0.5000, 0.5000, 0.2464).

The value obtained for the total magnetization is 0.0 μB per formula unit. The calculated formation energy comes out at -51 meV per atom.